# 1
DFT (PBE) results for a geometry-optimized La2CuCl structure.

Lattice parameters (Å, degrees): 3.658 3.632 8.327 90.17 90.00 90.00
Sites, in units of the cell vectors:
Cl1 0.500 0.250 0.250
Cu1 0.500 0.750 0.750
La1 0.000 0.250 0.964
La2 0.000 0.250 0.536

Formation energy (no corrections)   -0.77 eV per atom
Final energy   -4.72 eV per atom
Energy above the most stable polymorph in this dataset   0.118 eV/atom
Total magnetization   0.0 μB per cell

---

# 2
DFT (PBE) results for a geometry-optimized La2CuCl structure.

Lattice parameters (Å, degrees): 4.163 4.163 7.844 74.61 74.61 60.00
Sites, in units of the cell vectors:
La1 0.076 0.076 0.771
La2 0.258 0.258 0.227
Cu1 0.668 0.668 0.997
Cl1 0.498 0.498 0.505

Formation energy (no corrections)   -0.77 eV per atom
Final energy   -4.72 eV per atom
Energy above the most stable polymorph in this dataset   0.110 eV/atom
Total magnetization   0.0 μB per cell

---

# 3
DFT (PBE) results for a geometry-optimized La2CuCl structure.

Lattice parameters (Å, degrees): 6.289 6.289 4.498 90.00 90.00 35.46
Sites, in units of the cell vectors:
Cl1 0.504 0.504 0.375
Cu1 0.746 0.746 0.875
La1 0.998 0.998 0.875
La2 0.253 0.253 0.375

Formation energy (no corrections)   -0.76 eV per atom
Final energy   -4.71 eV per atom
Energy above the most stable polymorph in this dataset   0.126 eV/atom
Total magnetization   0.0 μB per cell

---

# 4
DFT (PBE) results for a geometry-optimized LaCuCl structure.

Lattice parameters (Å, degrees): 4.769 4.769 4.769 60.00 60.00 60.00
Sites, in units of the cell vectors:
Cl1 0.500 0.500 0.500
Cu1 0.250 0.250 0.250
La1 0.000 0.000 0.000

Formation energy (no corrections)   -0.45 eV per atom
Final energy   -4.07 eV per atom
Energy above the most stable polymorph in this dataset   0.714 eV/atom
Total magnetization   0.0 μB per cell

---

# 5
DFT (PBE) results for a geometry-optimized La7CuCl12 structure.

Lattice parameters (Å, degrees): 9.809 9.363 9.363 108.49 110.44 110.44
Sites, in units of the cell vectors:
La1 0.135 0.796 0.097
La2 0.961 0.097 0.300
La3 0.661 0.700 0.796
La4 0.500 0.000 0.000
La5 0.339 0.300 0.204
La6 0.039 0.903 0.700
La7 0.865 0.204 0.903
Cu1 0.000 0.000 0.000
Cl1 0.206 0.514 0.124
Cl2 0.917 0.124 0.610
Cl3 0.614 0.781 0.099
Cl4 0.485 0.099 0.318
Cl5 0.307 0.390 0.514
Cl6 0.167 0.682 0.781
Cl7 0.833 0.318 0.219
Cl8 0.693 0.610 0.486
Cl9 0.515 0.901 0.682
Cl10 0.386 0.219 0.901
Cl11 0.083 0.876 0.390
Cl12 0.794 0.486 0.876

Formation energy (no corrections)   -1.91 eV per atom
Final energy   -4.95 eV per atom
Total magnetization   0.1 μB per cell

---

# 6
DFT (PBE) results for a geometry-optimized LaCu2Cl structure.

Lattice parameters (Å, degrees): 3.467 3.468 7.479 90.00 90.00 90.00
Sites, in units of the cell vectors:
Cl1 0.500 0.500 0.709
Cu1 0.000 0.000 0.112
Cu2 0.500 0.500 0.198
La1 0.000 0.000 0.481

Formation energy (no corrections)   -0.48 eV per atom
Final energy   -4.22 eV per atom
Energy above the most stable polymorph in this dataset   0.127 eV/atom
Total magnetization   0.0 μB per cell

---

# 7
DFT (PBE) results for a geometry-optimized La4CuCl2 structure.

Lattice parameters (Å, degrees): 4.193 7.282 7.971 116.84 105.25 90.00
Sites, in units of the cell vectors:
Cl1 0.252 0.259 0.504
Cl2 0.748 0.741 0.496
Cu1 0.000 0.000 0.000
La1 0.121 0.458 0.242
La2 0.879 0.542 0.758
La3 0.375 0.044 0.750
La4 0.625 0.956 0.250

Formation energy (no corrections)   -0.86 eV per atom
Final energy   -4.79 eV per atom
Total magnetization   0.0 μB per cell

---

# 8
DFT (PBE) results for a geometry-optimized LaCu2Cl structure.

Lattice parameters (Å, degrees): 8.201 8.201 6.404 50.19 50.19 90.00
Sites, in units of the cell vectors:
Cl1 0.500 0.500 0.000
Cl2 0.250 0.750 0.500
Cu1 0.612 0.125 0.250
Cu2 0.138 0.625 0.250
Cu3 0.375 0.388 0.750
Cu4 0.875 0.862 0.750
La1 0.000 0.000 0.000
La2 0.750 0.250 0.500

Formation energy (no corrections)   -0.33 eV per atom
Final energy   -4.08 eV per atom
Energy above the most stable polymorph in this dataset   0.273 eV/atom
Total magnetization   0.0 μB per cell

---

# 9
DFT (PBE) results for a geometry-optimized La4CuCl3 structure.

Lattice parameters (Å, degrees): 5.911 5.911 7.268 114.00 114.00 90.00
Sites, in units of the cell vectors:
Cl1 0.500 0.500 0.000
Cl2 0.750 0.250 0.500
Cl3 0.250 0.750 0.500
Cu1 0.000 0.000 0.000
La1 0.000 0.500 0.000
La2 0.500 0.000 0.000
La3 0.250 0.250 0.500
La4 0.750 0.750 0.500

Formation energy (no corrections)   -1.25 eV per atom
Final energy   -4.92 eV per atom
Total magnetization   0.0 μB per cell

---

# 10
DFT (PBE) results for a geometry-optimized La2CuCl structure.

Lattice parameters (Å, degrees): 4.299 4.299 7.232 72.70 72.70 59.94
Sites, in units of the cell vectors:
Cl1 0.250 0.250 0.250
Cu1 0.750 0.750 0.750
La1 0.001 0.001 0.999
La2 0.499 0.499 0.501

Formation energy (no corrections)   -0.84 eV per atom
Final energy   -4.78 eV per atom
Energy above the most stable polymorph in this dataset   0.049 eV/atom
Total magnetization   0.0 μB per cell

---

# 11
DFT (PBE) results for a geometry-optimized LaMgCuCl2 structure.

Lattice parameters (Å, degrees): 4.661 7.303 4.661 90.00 90.00 90.00
Site moments in Bohr magnetons follow the coordinates.
Sites, in units of the cell vectors:
Mg1 0.000 0.000 0.000  0.04
Cl1 0.000 0.000 0.500  0.02
Cl2 0.500 0.000 0.000  0.02
Cu1 0.500 0.500 0.500  0.00
La1 0.000 0.500 0.000  0.29

Formation energy (no corrections)   -0.39 eV per atom
Final energy   -3.25 eV per atom
Total magnetization   1.0 μB per cell

---

# 12
DFT (PBE) results for a geometry-optimized La2CuN2Cl2 structure.

Lattice parameters (Å, degrees): 8.545 8.545 8.545 152.94 152.94 38.64
Sites, in units of the cell vectors:
La1 0.401 0.401 0.000
La2 0.599 0.599 0.000
Cu1 0.000 0.000 0.000
N1 0.000 0.500 0.500
N2 0.500 0.000 0.500
Cl1 0.187 0.187 0.000
Cl2 0.813 0.813 0.000

Formation energy (no corrections)   -1.39 eV per atom
Final energy   -6.29 eV per atom
Total magnetization   0.0 μB per cell

---

# 13
DFT (PBE) results for a geometry-optimized NaLaCu2Cl8 structure.

Lattice parameters (Å, degrees): 6.551 6.551 8.299 113.25 113.25 90.00
Site moments in Bohr magnetons follow the coordinates.
Sites, in units of the cell vectors:
Na1 0.000 0.000 0.000  0.00
La1 0.750 0.250 0.500  0.01
Cu1 0.500 0.500 0.000  0.55
Cu2 0.250 0.750 0.500  0.50
Cl1 0.724 0.847 0.144  0.10
Cl2 0.421 0.297 0.144  0.10
Cl3 0.590 0.658 0.637  0.09
Cl4 0.047 0.979 0.637  0.09
Cl5 0.021 0.410 0.363  0.09
Cl6 0.342 0.953 0.363  0.09
Cl7 0.153 0.579 0.856  0.10
Cl8 0.703 0.276 0.856  0.10

Formation energy (no corrections)   -1.27 eV per atom
Final energy   -3.71 eV per atom
Total magnetization   2.1 μB per cell

---

# 14
DFT (PBE) results for a geometry-optimized LaNb2CuClO7 structure.

Lattice parameters (Å, degrees): 7.872 7.892 11.844 90.00 90.00 90.00
Site moments in Bohr magnetons follow the coordinates.
Sites, in units of the cell vectors:
La1 0.000 0.238 0.000  0.00
La2 0.000 0.762 0.000  0.00
La3 0.500 0.262 0.000  0.00
La4 0.500 0.738 0.000  0.00
Nb1 0.752 0.500 0.191  0.02
Nb2 0.248 0.500 0.191  0.02
Nb3 0.252 0.000 0.809  0.02
Nb4 0.748 0.000 0.809  0.02
Nb5 0.248 0.500 0.809  0.02
Nb6 0.752 0.500 0.809  0.02
Nb7 0.748 0.000 0.191  0.02
Nb8 0.252 0.000 0.191  0.02
Cu1 0.771 0.491 0.500  0.57
Cu2 0.229 0.509 0.500  0.57
Cu3 0.271 0.009 0.500  0.57
Cu4 0.729 0.991 0.500  0.57
Cl1 0.917 0.228 0.500  0.21
Cl2 0.083 0.772 0.500  0.21
Cl3 0.417 0.272 0.500  0.21
Cl4 0.583 0.728 0.500  0.21
O1 0.000 0.500 0.134  0.00
O2 0.500 0.000 0.866  0.00
O3 0.000 0.500 0.866  0.00
O4 0.500 0.000 0.134  0.00
O5 0.500 0.500 0.184  0.00
O6 0.000 0.000 0.816  0.00
O7 0.500 0.500 0.816  0.00
O8 0.000 0.000 0.184  0.00
O9 0.750 0.250 0.152  0.00
O10 0.250 0.750 0.152  0.00
O11 0.250 0.250 0.848  0.00
O12 0.750 0.750 0.848  0.00
O13 0.250 0.750 0.848  0.00
O14 0.750 0.250 0.848  0.00
O15 0.750 0.750 0.152  0.00
O16 0.250 0.250 0.152  0.00
O17 0.701 0.500 0.000  0.02
O18 0.299 0.500 0.000  0.02
O19 0.201 0.000 0.000  0.02
O20 0.799 0.000 0.000  0.02
O21 0.782 0.498 0.342  0.06
O22 0.218 0.502 0.342  0.06
O23 0.282 0.002 0.658  0.06
O24 0.718 0.998 0.658  0.06
O25 0.218 0.502 0.658  0.06
O26 0.782 0.498 0.658  0.06
O27 0.718 0.998 0.342  0.06
O28 0.282 0.002 0.342  0.06

Formation energy (no corrections)   -2.36 eV per atom
Final energy   -7.84 eV per atom
Energy above the most stable polymorph in this dataset   0.000 eV/atom
Total magnetization   4.0 μB per cell

---

# 15
DFT (PBE) results for a geometry-optimized LaNb2CuClO7 structure.

Lattice parameters (Å, degrees): 3.960 3.958 11.771 90.00 90.00 90.00
Site moments in Bohr magnetons follow the coordinates.
Sites, in units of the cell vectors:
La1 0.961 0.000 0.000  0.00
Nb1 0.480 0.500 0.190  0.02
Nb2 0.480 0.500 0.810  0.02
Cu1 0.583 0.500 0.500  0.58
Cl1 0.895 0.000 0.500  0.19
O1 0.990 0.500 0.154  0.00
O2 0.490 0.000 0.154  0.00
O3 0.990 0.500 0.846  0.00
O4 0.490 0.000 0.846  0.00
O5 0.507 0.500 0.000  0.02
O6 0.499 0.500 0.344  0.07
O7 0.499 0.500 0.656  0.07

Formation energy (no corrections)   -2.35 eV per atom
Final energy   -7.82 eV per atom
Energy above the most stable polymorph in this dataset   0.017 eV/atom
Total magnetization   1.0 μB per cell

---

# 16
DFT (PBE) results for a geometry-optimized La4CuNiCl2 structure.

Lattice parameters (Å, degrees): 4.188 7.257 7.567 108.53 90.00 90.00
Sites, in units of the cell vectors:
La1 0.500 0.234 0.224
La2 0.500 0.766 0.776
La3 0.000 0.245 0.767
La4 0.000 0.755 0.233
Cu1 0.500 0.500 0.000
Ni1 0.000 0.000 0.000
Cl1 0.500 0.000 0.500
Cl2 0.000 0.500 0.500

Formation energy (no corrections)   -0.88 eV per atom
Final energy   -5.05 eV per atom
Total magnetization   0.0 μB per cell

---

# 17
DFT (PBE) results for a geometry-optimized LaCuP2Cl structure.

Lattice parameters (Å, degrees): 4.442 4.442 5.222 90.00 90.00 90.00
Sites, in units of the cell vectors:
P1 0.000 0.500 0.000
P2 0.500 0.000 0.000
Cl1 0.000 0.000 0.500
Cu1 0.000 0.000 0.000
La1 0.500 0.500 0.500

Formation energy (no corrections)   -0.56 eV per atom
Final energy   -4.89 eV per atom
Energy above the most stable polymorph in this dataset   0.000 eV/atom
Total magnetization   0.0 μB per cell

---

# 18
DFT (PBE) results for a geometry-optimized La4CuPCl2 structure.

Lattice parameters (Å, degrees): 4.222 7.452 7.259 109.38 90.00 90.00
Sites, in units of the cell vectors:
La1 0.500 0.249 0.237
La2 0.500 0.751 0.763
La3 0.000 0.262 0.764
La4 0.000 0.738 0.236
Cu1 0.000 0.000 0.000
P1 0.500 0.500 0.000
Cl1 0.500 0.000 0.500
Cl2 0.000 0.500 0.500

Formation energy (no corrections)   -1.26 eV per atom
Final energy   -5.37 eV per atom
Total magnetization   0.0 μB per cell

---

# 19
DFT (PBE) results for a geometry-optimized LaCuP2Cl structure.

Lattice parameters (Å, degrees): 5.656 5.656 5.430 90.00 90.00 90.00
Site moments in Bohr magnetons follow the coordinates.
Sites, in units of the cell vectors:
P1 0.000 0.500 0.000  -0.25
P2 0.500 0.000 0.000  -0.25
Cl1 0.000 0.000 0.500  -0.04
Cu1 0.500 0.500 0.500  -0.01
La1 0.000 0.000 0.000  -0.02

Formation energy (no corrections)   0.47 eV per atom
Final energy   -3.87 eV per atom
Energy above the most stable polymorph in this dataset   1.022 eV/atom
Total magnetization   1.2 μB per cell

---

# 20
DFT (PBE) results for a geometry-optimized LaCuPd2Cl structure.

Lattice parameters (Å, degrees): 4.805 4.620 4.805 90.00 90.00 90.00
Sites, in units of the cell vectors:
Cl1 0.000 0.500 0.000
Cu1 0.000 0.000 0.000
Pd1 0.000 0.000 0.500
Pd2 0.500 0.000 0.000
La1 0.500 0.500 0.500

Formation energy (no corrections)   -0.31 eV per atom
Final energy   -4.56 eV per atom
Energy above the most stable polymorph in this dataset   0.000 eV/atom
Total magnetization   0.0 μB per cell